1.
DFT (PBE-GGA) results for a geometry-optimized BaSb2Pd structure.

a b c (Å): 6.945 6.447 6.975
angles (deg): 101.46 104.67 121.96
Atoms (fractional coordinates):
Ba 0.117 0.367 0.234
Ba 0.883 0.633 0.766
Sb 0.499 0.092 0.233
Sb 0.734 0.641 0.233
Sb 0.501 0.908 0.767
Sb 0.266 0.359 0.767
Pd 0.760 0.010 0.520
Pd 0.240 0.990 0.480

Results
N(E_F) (states/eV/atom): 0.40
Formation energy without anion corrections (meV/atom): -721


2.
DFT (PBE-GGA) results for a geometry-optimized BaSb2Pd2 structure.

a b c (Å): 8.619 8.619 3.258
angles (deg): 90.00 90.00 90.00
Atoms (fractional coordinates):
Sb 0.361 0.861 0.000
Sb 0.861 0.639 0.000
Sb 0.639 0.139 0.000
Sb 0.139 0.361 0.000
Ba 0.000 0.000 0.000
Ba 0.500 0.500 0.000
Pd 0.134 0.634 0.500
Pd 0.634 0.866 0.500
Pd 0.866 0.366 0.500
Pd 0.366 0.134 0.500

Results
N(E_F) (states/eV/atom): 0.70
Formation energy without anion corrections (meV/atom): -381


3.
DFT (PBE-GGA) results for a geometry-optimized BaSbPd4 structure.

a b c (Å): 4.334 8.304 7.714
angles (deg): 90.00 90.00 90.00
Atoms (fractional coordinates):
Ba 0.000 0.650 0.750
Ba 0.000 0.350 0.250
Sb 0.000 0.221 0.750
Sb 0.000 0.779 0.250
Pd 0.000 0.000 0.500
Pd 0.000 0.000 0.000
Pd 0.500 0.940 0.750
Pd 0.500 0.060 0.250
Pd 0.500 0.770 0.055
Pd 0.500 0.230 0.945
Pd 0.500 0.770 0.445
Pd 0.500 0.230 0.555

Results
N(E_F) (states/eV/atom): 0.58
Formation energy without anion corrections (meV/atom): -441
E above lowest polymorph (meV/atom): 0.0